Entry 1:
LiGaRu2 after structural relaxation, computed with GGA-PBE.

Calculated values
The value obtained for the total DFT energy (no corrections) is -5.495 eV/atom. The spin magnetization comes out at 0.0 μB/cell. The calculation puts the energy of formation from the pure elements at 0.378 eV/atom. The calculation puts the density of states at the Fermi level at 0.731 states/eV per atom.

Structure (extended XYZ):
```
8
Lattice="-1.5618 -0.4257 -6.6123 6.5451 -1.1573 -1.4714 2.1077 -3.2825 -3.7908" Properties=species:S:1:pos:R:3 pbc="T T T"
Li 5.5722 -2.6156 -4.6521
Ru 0.3570 -1.2346 -5.3150
Ru 5.9913 -3.8558 -9.9277
Li 2.4917 -0.7915 -4.0419
Ga 1.5188 -2.2498 -7.2225
Ru 3.3994 -3.0466 -5.8633
Ga 0.0000 0.0000 0.0000
Ru 4.4344 -1.5939 -2.6433
```

Entry 2:
CsCdGe2F after structural relaxation, computed with GGA-PBE.

Calculated values
The value obtained for the total DFT energy (no corrections) is -2.032 eV/atom. The spin magnetization comes out at 1.0 μB/cell. For the energy relative to the elements, uncorrected, the calculation gives 0.54 eV per atom. The calculation puts the density of states at the Fermi level at 1.065 states/eV per atom.

Structure (extended XYZ):
```
5
Lattice="-5.4675 -2.1874 1.7928 2.3656 -1.3982 5.5083 -1.2413 4.4694 1.6676" Properties=species:S:1:pos:R:3 pbc="T T T"
Ge -2.7338 -1.0937 0.8964
F -0.6206 2.2347 0.8338
Cd -2.1716 0.4419 4.4843
Ge 1.1828 -0.6991 2.7542
Cs 0.0000 0.0000 0.0000
```

Entry 3:
NiHg2Mo after structural relaxation, computed with GGA-PBE.

Calculated values
The value obtained for the total DFT energy (no corrections) is -3.917 eV/atom. The calculation puts the excess energy over the best structure of this formula in the dataset at 2.48 kcal/mol of atoms. The spin magnetization comes out at 0.0 μB/cell. The calculation puts the energy of formation from the pure elements at 0.387 eV/atom. The calculation puts the density of states at the Fermi level at 0.979 states/eV per atom.

Structure (extended XYZ):
```
4
Lattice="-7.0511 -2.4972 -6.6306 -5.6368 -5.0389 -6.5387 -7.6971 -4.4482 -4.5702" Properties=species:S:1:pos:R:3 pbc="T T T"
Ni -4.9581 -2.9149 -4.3147
Mo -10.4303 -6.1319 -9.0767
Hg -15.4459 -9.0806 -13.4414
Hg -20.1281 -11.8332 -17.5159
```

Entry 4:
RbZrBSb2 after structural relaxation, computed with GGA-PBE.

Calculated values
The value obtained for the total DFT energy (no corrections) is -4.404 eV/atom. The spin magnetization comes out at 0.0 μB/cell. For the energy relative to the elements, uncorrected, the calculation gives 0.48 eV per atom. The calculation puts the density of states at the Fermi level at 0.810 states/eV per atom.

Structure (extended XYZ):
```
5
Lattice="-0.0831 5.3085 -0.7170 -2.8838 -0.5220 -3.5301 -4.1660 0.3867 3.3461" Properties=species:S:1:pos:R:3 pbc="T T T"
B 0.0000 0.0000 0.0000
Sb -0.0416 2.6542 -0.3585
Sb -2.0830 0.1934 1.6730
Rb -3.5664 2.5866 -0.4505
Zr -1.4419 -0.2610 -1.7650
```

Entry 5:
Ca2Zn5Ni2Rh after structural relaxation, computed with GGA-PBE.

Calculated values
The value obtained for the total DFT energy (no corrections) is -3.184 eV/atom. The spin magnetization comes out at 0.0 μB/cell. The calculation puts the energy of formation from the pure elements at -0.255 eV/atom. The calculation puts the density of states at the Fermi level at 0.619 states/eV per atom.

Structure (extended XYZ):
```
20
Lattice="-2.7531 2.3158 -0.8308 -6.3020 -6.3347 3.2257 0.5979 3.8232 8.6760" Properties=species:S:1:pos:R:3 pbc="T T T"
Ca -1.5295 1.1066 8.1530
Rh 0.0000 0.0000 0.0000
Zn -1.2599 3.8577 6.7237
Zn -1.0776 3.0695 3.9226
Zn -7.1973 -4.0533 4.3473
Ca -0.9393 0.0887 3.3599
Zn -4.4724 0.2968 7.4436
Ni -0.3769 1.6140 5.7482
Zn -5.5142 -1.5754 5.6768
Ca -4.7648 -2.6001 8.5419
Ni -3.3707 -0.5477 9.6431
Zn -3.9848 -0.4925 3.6274
Zn -2.5933 0.1202 0.7241
Rh -2.8521 -1.2557 5.9509
Zn -5.8639 -0.3158 10.3469
Zn -4.5275 -2.0094 1.1975
Ni -5.3272 -4.1255 6.1535
Ca -4.1746 -3.6180 3.7488
Zn -2.9430 1.3798 5.3941
Ni -2.3335 -1.9638 2.2586
```

Entry 6:
Pm4Ho3Ir4 after structural relaxation, computed with GGA-PBE.

Calculated values
The value obtained for the total DFT energy (no corrections) is -6.750 eV/atom. The spin magnetization comes out at 0.0 μB/cell. The calculation puts the energy of formation from the pure elements at -0.552 eV/atom. The calculation puts the density of states at the Fermi level at 0.705 states/eV per atom.

Structure (extended XYZ):
```
11
Lattice="3.7564 0.0000 0.0000 0.0000 8.7554 0.0000 -1.8782 -4.3777 8.2803" Properties=species:S:1:pos:R:3 pbc="T T T"
Ir 1.8782 6.8525 0.0000
Pm 1.8782 2.7331 2.7375
Pm 0.0000 -1.6446 5.5429
Ho 1.8782 4.3777 6.6833
Ho 0.0000 4.3777 0.0000
Ho 0.0000 0.0000 1.5970
Pm 1.8782 6.0223 2.7375
Ir 1.8782 1.9030 0.0000
Ir 1.8782 0.0000 3.9476
Pm 0.0000 1.6446 5.5429
Ir 0.0000 4.3777 4.3328
```

Repeat the second record exactly.
CsCdGe2F after structural relaxation, computed with GGA-PBE.

Calculated values
The value obtained for the total DFT energy (no corrections) is -2.032 eV/atom. The spin magnetization comes out at 1.0 μB/cell. For the energy relative to the elements, uncorrected, the calculation gives 0.54 eV per atom. The calculation puts the density of states at the Fermi level at 1.065 states/eV per atom.

Structure (extended XYZ):
```
5
Lattice="-5.4675 -2.1874 1.7928 2.3656 -1.3982 5.5083 -1.2413 4.4694 1.6676" Properties=species:S:1:pos:R:3 pbc="T T T"
Ge -2.7338 -1.0937 0.8964
F -0.6206 2.2347 0.8338
Cd -2.1716 0.4419 4.4843
Ge 1.1828 -0.6991 2.7542
Cs 0.0000 0.0000 0.0000
```

Among the records above, which one has the highest spin magnetization? CsCdGe2F